## Hf4ScRu5 (PBE-GGA)

Data for a relaxed Hf4ScRu5 crystal.

Symmetry ... P4/mmm
ΔH_f (0 K) ... -804 meV/atom

Lattice parameters (Å, degrees): 3.2354 3.2354 16.2187 90.00 90.00 90.00
With the nearest neighbours (Å) after each atom.
Atoms (fractional coordinates):
Hf1 0.0000 0.0000 0.1970  8 Ru 2.75-2.84
Hf2 0.0000 0.0000 0.3991  8 Ru 2.79-2.81
Hf3 0.0000 0.0000 0.6009  8 Ru 2.79-2.81
Hf4 0.0000 0.0000 0.8030  8 Ru 2.75-2.84
Sc1 0.0000 0.0000 0.0000  8 Ru 2.83
Ru1 0.5000 0.5000 0.1028  4 Hf 2.75, 4 Sc 2.83
Ru2 0.5000 0.5000 0.3010  8 Hf 2.79-2.84
Ru3 0.5000 0.5000 0.5000  8 Hf 2.81
Ru4 0.5000 0.5000 0.6990  8 Hf 2.79-2.84
Ru5 0.5000 0.5000 0.8972  4 Hf 2.75, 4 Sc 2.83

=====

## HfSc2Si2Ru5 (PBE-GGA)

Data for a relaxed HfSc2Si2Ru5 crystal.

Symmetry ... P4/mbm
E_form (uncorrected) ... -7.30 eV per formula unit

Lattice parameters (Å, degrees): 3.2240 9.9005 9.9005 90.00 90.00 90.00
With the nearest neighbours (Å) after each atom.
Atoms (fractional coordinates):
Hf1 0.0000 0.0000 0.0000  8 Ru 2.72
Hf2 0.0000 0.5000 0.5000  8 Ru 2.72
Sc1 0.0000 0.6726 0.1726  3 Si 2.80-3.00, 10 Ru 2.91-3.12
Sc2 0.0000 0.3274 0.8274  3 Si 2.80-3.00, 10 Ru 2.91-3.12
Sc3 0.0000 0.1726 0.3274  3 Si 2.80-3.00, 10 Ru 2.91-3.12
Sc4 0.0000 0.8274 0.6726  3 Si 2.80-3.00, 10 Ru 2.91-3.12
Si1 0.0000 0.1271 0.6271  6 Ru 2.35-2.40
Si2 0.0000 0.8729 0.3729  6 Ru 2.35-2.40
Si3 0.0000 0.6271 0.8729  6 Ru 2.35-2.40
Si4 0.0000 0.3729 0.1271  6 Ru 2.35-2.40
Ru1 0.5000 0.2096 0.0696  2 Si 2.35
Ru2 0.5000 0.7904 0.9304  2 Si 2.35
Ru3 0.5000 0.0696 0.7904  2 Si 2.35
Ru4 0.5000 0.7096 0.4304  2 Si 2.35
Ru5 0.5000 0.9304 0.2096  2 Si 2.35
Ru6 0.5000 0.2904 0.5696  2 Si 2.35
Ru7 0.5000 0.5696 0.7096  2 Si 2.35
Ru8 0.5000 0.4304 0.2904  2 Si 2.35
Ru9 0.5000 0.5000 0.0000  4 Si 2.40
Ru10 0.5000 0.0000 0.5000  4 Si 2.40

=====

## Hf2ScZnRu (PBE-GGA)

Data for a relaxed Hf2ScZnRu crystal.

Symmetry ... P4/mmm
ΔH_f (0 K) ... 246 meV/atom

Lattice parameters (Å, degrees): 4.8798 4.9124 4.8798 90.00 90.00 90.00
With the nearest neighbours (Å) after each atom.
Atoms (fractional coordinates):
Sc1 0.5000 0.5000 0.5000  4 Zn 3.45, 8 Hf 3.46
Ru1 0.0000 0.0000 0.0000  4 Hf 2.44, 2 Zn 2.46
Zn1 0.0000 0.5000 0.0000  2 Ru 2.46
Hf1 0.0000 0.0000 0.5000  2 Ru 2.44
Hf2 0.5000 0.0000 0.0000  2 Ru 2.44

=====

## HfScZnRu (PBE-GGA)

Data for a relaxed HfScZnRu crystal.

Symmetry ... P4mm
ΔH_f (0 K) ... -523 meV/atom

Lattice parameters (Å, degrees): 3.2679 3.2679 6.6447 90.00 90.00 90.00
With the nearest neighbours (Å) after each atom.
Atoms (fractional coordinates):
Hf1 0.0000 0.0000 0.8427  4 Ru 2.76, 4 Zn 2.89
Sc1 0.0000 0.0000 0.3642  4 Ru 2.85, 4 Zn 2.88, 1 Hf 3.18
Zn1 0.5000 0.5000 0.1048  4 Sc 2.88, 4 Hf 2.89
Ru1 0.5000 0.5000 0.6162  4 Hf 2.76, 4 Sc 2.85

=====

## HfRuSe (PBE-GGA)

Data for a relaxed HfRuSe crystal.

Symmetry ... R-3m
E_form (uncorrected) ... -1.59 eV per formula unit

Lattice parameters (Å, degrees): 4.0569 4.0569 10.2959 78.64 78.64 60.00
With the nearest neighbours (Å) after each atom.
Atoms (fractional coordinates):
Hf1 0.5629 0.5629 0.3112  3 Se 2.74, 6 Ru 3.00-3.02
Hf2 0.4371 0.4371 0.6888  3 Se 2.74, 6 Ru 3.00-3.02
Se1 0.2766 0.2766 0.1702  3 Hf 2.74
Se2 0.7234 0.7234 0.8298  3 Hf 2.74
Ru1 0.8339 0.8339 0.4982  3 Ru 2.34
Ru2 0.1661 0.1661 0.5018  3 Ru 2.34

=====

## HfRu2Se (PBE-GGA)

Data for a relaxed HfRu2Se crystal.

Symmetry ... I-42d
E_form (uncorrected) ... 1.53 eV per formula unit

Lattice parameters (Å, degrees): 5.8120 5.8120 6.7589 64.54 64.54 90.00
With the nearest neighbours (Å) after each atom.
Atoms (fractional coordinates):
Ru1 0.5919 0.1250 0.2500  2 Se 2.35, 2 Hf 2.57
Ru2 0.1581 0.6250 0.2500  2 Se 2.35, 2 Hf 2.57
Ru3 0.3750 0.4081 0.7500  2 Se 2.35, 2 Hf 2.57
Ru4 0.8750 0.8419 0.7500  2 Se 2.35, 2 Hf 2.57
Hf1 0.0000 0.0000 0.0000  4 Ru 2.57
Hf2 0.7500 0.2500 0.5000  4 Ru 2.57
Se1 0.5000 0.5000 0.0000  4 Ru 2.35
Se2 0.2500 0.7500 0.5000  4 Ru 2.35

=====

Listing total moment for the structures above in their given order: 0.000; 0.000; 0.000; 0.000; 0.000; 0.000 μB per atom.